(1)
## TaCo2TcB (PBE)

Data for a relaxed structure of TaCo2TcB.

Computed properties:
Total moment = 0.9 μB/cell
Crystal system = tetragonal
ΔE_f = -5.3 kcal/mol of atoms

Unit cell a=3.843 b=3.843 c=4.106 alpha=90.00 beta=90.00 gamma=90.00
Each line ends with the local moment (μB).
Fractional positions:
B (0.000, 0.000, 0.000)  -0.02
Co (0.000, 0.500, 0.000)  0.50
Co (0.500, 0.000, 0.000)  0.50
Tc (0.000, 0.000, 0.500)  0.10
Ta (0.500, 0.500, 0.500)  -0.10

***

(2)
## LaMg2Ru (PBE)

Data for a relaxed structure of LaMg2Ru.

Computed properties:
Total moment = 0.0 μB/cell
Crystal system = orthorhombic
ΔE_f = 4.4 kcal/mol of atoms

Unit cell a=5.224 b=5.224 c=3.520 alpha=90.00 beta=90.00 gamma=115.19
Fractional positions:
La (0.000, 0.500, 0.500)
Mg (0.000, 0.000, 0.000)
Mg (0.500, 0.500, 0.000)
Ru (0.500, 0.000, 0.500)

***

(3)
## SmZrNp2As4 (PBE)

Data for a relaxed structure of SmZrNp2As4.

Computed properties:
Total moment = 0.1 μB/cell
Crystal system = monoclinic
ΔE_f = -22.9 kcal/mol of atoms

Unit cell a=4.053 b=7.065 c=7.035 alpha=109.24 beta=90.00 gamma=90.00
Each line ends with the local moment (μB).
Fractional positions:
Sm (0.500, 0.500, 0.000)  0.00
Zr (0.000, 0.000, 0.000)  -0.01
Np (0.500, 0.000, 0.500)  -3.64
Np (0.000, 0.500, 0.500)  3.78
As (0.500, 0.238, 0.243)  -0.02
As (0.500, 0.762, 0.757)  -0.02
As (0.000, 0.239, 0.750)  0.03
As (0.000, 0.761, 0.250)  0.03

***

(4)
## CdNi3 (PBE)

Data for a relaxed structure of CdNi3.

Computed properties:
Total moment = 2.4 μB/cell
Crystal system = cubic
ΔE_f = 5.9 kcal/mol of atoms

Unit cell a=4.743 b=4.743 c=4.743 alpha=90.00 beta=90.00 gamma=90.00
Each line ends with the local moment (μB).
Fractional positions:
Cd (0.000, 0.000, 0.000)  -0.01
Cd (0.500, 0.500, 0.500)  -0.01
Ni (0.000, 0.250, 0.500)  0.41
Ni (0.000, 0.750, 0.500)  0.41
Ni (0.250, 0.500, 0.000)  0.41
Ni (0.500, 0.000, 0.250)  0.41
Ni (0.500, 0.000, 0.750)  0.41
Ni (0.750, 0.500, 0.000)  0.41

***

Q: Which D(E_F) values were calculated for the entries above? A: 1.63; 3.61; 21.52; 14.96, in states/eV per cell.